A) VASP calculation (PBE) on TePSeCl2 after structural relaxation.

a b c (Å): 5.0634 5.0634 5.6253
angles (deg): 90.00 90.00 90.00
Last column: magnetic moment on the atom in μB.
Fractional positions:
P: 0.0000 0.0000 0.5000  -0.12
Te: 0.0000 0.0000 0.0000  0.00
Se: 0.5000 0.5000 0.5000  0.51
Cl: 0.0000 0.5000 0.0000  0.02
Cl: 0.5000 0.0000 0.0000  0.02

Results
Symmetry: P4/mmm (123)
Calculated volume (Å³ per cell): 144.22
Size of the total moment (μB per cell): 0.6

B) VASP calculation (PBE) on TePSeCl2 after structural relaxation.

a b c (Å): 4.7289 4.7289 5.6808
angles (deg): 90.00 90.00 90.00
Last column: magnetic moment on the atom in μB.
Fractional positions:
P: 0.0000 0.0000 0.5000  -0.07
Te: 0.5000 0.5000 0.5000  0.22
Se: 0.0000 0.0000 0.0000  -0.02
Cl: 0.0000 0.5000 0.0000  0.02
Cl: 0.5000 0.0000 0.0000  0.02

Results
Symmetry: P4/mmm (123)
Calculated volume (Å³ per cell): 127.04
Size of the total moment (μB per cell): 0.3

Of them, A) has the lowest stability.

A) VASP calculation (PBE) on TiPSeCl2 after structural relaxation.

a b c (Å): 4.5394 4.5394 5.3341
angles (deg): 90.00 90.00 90.00
Fractional positions:
P: 0.0000 0.0000 0.5000
Cl: 0.0000 0.5000 0.0000
Cl: 0.5000 0.0000 0.0000
Se: 0.5000 0.5000 0.5000
Ti: 0.0000 0.0000 0.0000

Results
Symmetry: P4/mmm (123)
Calculated volume (Å³ per cell): 109.91
Size of the total moment (μB per cell): 0.0

B) VASP calculation (PBE) on TiPSeCl2 after structural relaxation.

a b c (Å): 4.8202 4.8202 5.1913
angles (deg): 90.00 90.00 90.00
Last column: magnetic moment on the atom in μB.
Fractional positions:
P: 0.0000 0.0000 0.5000  0.11
Cl: 0.0000 0.5000 0.0000  -0.01
Cl: 0.5000 0.0000 0.0000  -0.01
Se: 0.0000 0.0000 0.0000  -0.04
Ti: 0.5000 0.5000 0.5000  -1.74

Results
Symmetry: P4/mmm (123)
Calculated volume (Å³ per cell): 120.62
Size of the total moment (μB per cell): 1.9

Of them, B) has the lowest stability.

A) VASP calculation (PBE) on TlPSeCl2 after structural relaxation.

a b c (Å): 5.1335 5.1335 5.6096
angles (deg): 90.00 90.00 90.00
Last column: magnetic moment on the atom in μB.
Fractional positions:
P: 0.0000 0.0000 0.5000  0.17
Tl: 0.0000 0.0000 0.0000  0.00
Se: 0.5000 0.5000 0.5000  0.59
Cl: 0.0000 0.5000 0.0000  0.04
Cl: 0.5000 0.0000 0.0000  0.04

Results
Symmetry: P4/mmm (123)
Calculated volume (Å³ per cell): 147.83
Size of the total moment (μB per cell): 1.5

B) VASP calculation (PBE) on TlPSeCl2 after structural relaxation.

a b c (Å): 5.4298 5.4298 4.7721
angles (deg): 90.00 90.00 90.00
Fractional positions:
P: 0.0000 0.0000 0.5000
Tl: 0.5000 0.5000 0.5000
Se: 0.0000 0.0000 0.0000
Cl: 0.0000 0.5000 0.0000
Cl: 0.5000 0.0000 0.0000

Results
Symmetry: P4/mmm (123)
Calculated volume (Å³ per cell): 140.69
Size of the total moment (μB per cell): 0.0

Of them, A) has the lowest stability.

A) VASP calculation (PBE) on TlP2SeCl after structural relaxation.

a b c (Å): 5.2492 5.2492 5.0988
angles (deg): 90.00 90.00 90.00
Last column: magnetic moment on the atom in μB.
Fractional positions:
P: 0.0000 0.5000 0.0000  0.31
P: 0.5000 0.0000 0.0000  0.31
Tl: 0.0000 0.0000 0.0000  -0.01
Se: 0.5000 0.5000 0.5000  -0.34
Cl: 0.0000 0.0000 0.5000  0.02

Results
Symmetry: P4/mmm (123)
Calculated volume (Å³ per cell): 140.49
Size of the total moment (μB per cell): 0.8

B) VASP calculation (PBE) on TlP2SeCl after structural relaxation.

a b c (Å): 4.7182 4.7182 7.1868
angles (deg): 90.00 90.00 90.00
Fractional positions:
P: 0.0000 0.5000 0.0000
P: 0.5000 0.0000 0.0000
Tl: 0.5000 0.5000 0.5000
Se: 0.0000 0.0000 0.0000
Cl: 0.0000 0.0000 0.5000

Results
Symmetry: P4/mmm (123)
Calculated volume (Å³ per cell): 159.99
Size of the total moment (μB per cell): 0.0

Of them, A) has the lowest stability.

A) VASP calculation (PBE) on VPSeCl2 after structural relaxation.

a b c (Å): 4.4104 4.4104 5.2144
angles (deg): 90.00 90.00 90.00
Fractional positions:
P: 0.0000 0.0000 0.5000
Cl: 0.0000 0.5000 0.0000
Cl: 0.5000 0.0000 0.0000
Se: 0.5000 0.5000 0.5000
V: 0.0000 0.0000 0.0000

Results
Symmetry: P4/mmm (123)
Calculated volume (Å³ per cell): 101.43
Size of the total moment (μB per cell): 0.0

B) VASP calculation (PBE) on VPSeCl2 after structural relaxation.

a b c (Å): 4.8165 4.8165 5.2042
angles (deg): 90.00 90.00 90.00
Last column: magnetic moment on the atom in μB.
Fractional positions:
P: 0.0000 0.0000 0.5000  -0.21
Cl: 0.0000 0.5000 0.0000  0.00
Cl: 0.5000 0.0000 0.0000  0.00
Se: 0.0000 0.0000 0.0000  0.03
V: 0.5000 0.5000 0.5000  2.94

Results
Symmetry: P4/mmm (123)
Calculated volume (Å³ per cell): 120.73
Size of the total moment (μB per cell): 3.0

Of them, B) has the lowest stability.

A) VASP calculation (PBE) on PWSeCl2 after structural relaxation.

a b c (Å): 4.5980 4.5980 5.0446
angles (deg): 90.00 90.00 90.00
Fractional positions:
P: 0.0000 0.0000 0.5000
Se: 0.5000 0.5000 0.5000
W: 0.0000 0.0000 0.0000
Cl: 0.0000 0.5000 0.0000
Cl: 0.5000 0.0000 0.0000

Results
Symmetry: P4/mmm (123)
Calculated volume (Å³ per cell): 106.65
Size of the total moment (μB per cell): 0.0

B) VASP calculation (PBE) on PWSeCl2 after structural relaxation.

a b c (Å): 4.6963 4.6963 5.3894
angles (deg): 90.00 90.00 90.00
Last column: magnetic moment on the atom in μB.
Fractional positions:
P: 0.0000 0.0000 0.5000  -0.17
Se: 0.0000 0.0000 0.0000  0.04
W: 0.5000 0.5000 0.5000  3.22
Cl: 0.0000 0.5000 0.0000  0.03
Cl: 0.5000 0.0000 0.0000  0.03

Results
Symmetry: P4/mmm (123)
Calculated volume (Å³ per cell): 118.86
Size of the total moment (μB per cell): 4.2

Of them, B) has the lowest stability.

A) VASP calculation (PBE) on YP2SeCl after structural relaxation.

a b c (Å): 5.4726 5.4726 5.0193
angles (deg): 90.00 90.00 90.00
Last column: magnetic moment on the atom in μB.
Fractional positions:
Y: 0.0000 0.0000 0.0000  0.00
P: 0.0000 0.5000 0.0000  0.25
P: 0.5000 0.0000 0.0000  0.25
Se: 0.5000 0.5000 0.5000  -0.31
Cl: 0.0000 0.0000 0.5000  0.04

Results
Symmetry: P4/mmm (123)
Calculated volume (Å³ per cell): 150.32
Size of the total moment (μB per cell): 0.7

B) VASP calculation (PBE) on YP2SeCl after structural relaxation.

a b c (Å): 4.8625 4.8625 4.7570
angles (deg): 90.00 90.00 90.00
Fractional positions:
Y: 0.5000 0.5000 0.5000
P: 0.0000 0.5000 0.0000
P: 0.5000 0.0000 0.0000
Se: 0.0000 0.0000 0.0000
Cl: 0.0000 0.0000 0.5000

Results
Symmetry: P4/mmm (123)
Calculated volume (Å³ per cell): 112.47
Size of the total moment (μB per cell): 0.0

Of them, A) has the lowest stability.

A) VASP calculation (PBE) on ZrP2SeCl after structural relaxation.

a b c (Å): 5.1426 5.1426 4.8305
angles (deg): 90.00 90.00 90.00
Fractional positions:
P: 0.0000 0.5000 0.0000
P: 0.5000 0.0000 0.0000
Se: 0.5000 0.5000 0.5000
Zr: 0.0000 0.0000 0.0000
Cl: 0.0000 0.0000 0.5000

Results
Symmetry: P4/mmm (123)
Calculated volume (Å³ per cell): 127.75
Size of the total moment (μB per cell): 0.0

B) VASP calculation (PBE) on ZrP2SeCl after structural relaxation.

a b c (Å): 4.8449 4.8449 4.5330
angles (deg): 90.00 90.00 90.00
Fractional positions:
P: 0.0000 0.5000 0.0000
P: 0.5000 0.0000 0.0000
Se: 0.0000 0.0000 0.0000
Zr: 0.5000 0.5000 0.5000
Cl: 0.0000 0.0000 0.5000

Results
Symmetry: P4/mmm (123)
Calculated volume (Å³ per cell): 106.40
Size of the total moment (μB per cell): 0.0

Of them, B) has the lowest stability.